Entry a
Material: BeO4
Method: DFT, PBE
State: relaxed

Calculated values
Magnetization: 6.00 μB/f.u.

a b c (Å): 3.5692 3.5692 3.5692
angles (deg): 90.00 90.00 90.00
Closest atoms and distances in Å follow each position.
Fractional coordinates of all 5 atoms:
Be 0.5000 0.5000 0.5000  6 O 1.78
O 0.0000 0.5000 0.5000  2 Be 1.78
O 0.5000 0.0000 0.5000  2 Be 1.78
O 0.5000 0.5000 0.0000  2 Be 1.78
O 0.0000 0.0000 0.0000  12 O 2.52

***

Entry b
Material: BeO4
Method: DFT, PBE
State: relaxed

Calculated values
Magnetization: 2.03 μB/f.u.

a b c (Å): 2.8280 4.2773 5.7044
angles (deg): 110.28 90.00 90.00
Closest atoms and distances in Å follow each position.
Fractional coordinates of all 5 atoms:
O 0.5000 0.8651 0.5174  1 O 1.24
O 0.0000 0.1967 0.0351  1 O 1.59, 2 Be 1.62
O 0.0000 0.8033 0.9649  1 O 1.59, 2 Be 1.62
O 0.5000 0.1349 0.4826  1 O 1.24
Be 0.5000 0.0000 0.0000  4 O 1.62

***

It comes down to entry b, which is 94.5 kJ/mol of atoms more stable than the next structure.

***

Entry a
Material: BePOsO2
Method: DFT, PBE
State: relaxed

Calculated values
Magnetization: 1.31 μB/f.u.

a b c (Å): 3.2749 3.2749 6.2276
angles (deg): 90.00 90.00 90.00
Closest atoms and distances in Å follow each position.
Fractional coordinates of all 5 atoms:
O 0.5000 0.0000 0.0000  2 Be 1.64
O 0.0000 0.5000 0.0000  2 Be 1.64
P 0.0000 0.0000 0.5000  4 Os 2.32
Os 0.5000 0.5000 0.5000  4 P 2.32
Be 0.0000 0.0000 0.0000  4 O 1.64

***

Entry b
Material: BePOsO2
Method: DFT, PBE
State: relaxed

Calculated values
Magnetization: 0.49 μB/f.u.

a b c (Å): 3.6884 3.6884 5.3532
angles (deg): 90.00 90.00 90.00
Closest atoms and distances in Å follow each position.
Fractional coordinates of all 5 atoms:
O 0.5000 0.0000 0.0000  2 Os 1.84
O 0.0000 0.5000 0.0000  2 Os 1.84
P 0.0000 0.0000 0.5000  4 Be 2.61, 2 Os 2.68
Be 0.5000 0.5000 0.5000  4 P 2.61
Os 0.0000 0.0000 0.0000  4 O 1.84

***

It comes down to entry b, which is 15.7 kJ/mol of atoms more stable than the next structure.